The following is a DFT calculation (PBE-GGA) of a geometry-optimized Bi2H2Pd5 structure.

total energy: -42.2 eV/cell
symmetry: P-1
D(E_F): 2.92 states/eV/f.u.

a = 3.444 Å, b = 5.132 Å, c = 8.235 Å
α = 86.44°, β = 89.93°, γ = 70.78°
Atoms (fractional coordinates):
Bi: 0.070 0.356 0.298
Bi: 0.930 0.644 0.702
H: 0.322 0.857 0.056
H: 0.678 0.143 0.944
Pd: 0.209 0.082 0.857
Pd: 0.353 0.795 0.425
Pd: 0.500 0.500 0.000
Pd: 0.647 0.205 0.575
Pd: 0.791 0.918 0.143